(1)
LiBiSe2: optimized geometry, GGA-PBE.

Cell lengths 4.1398, 4.1398, 19.8590 Å; angles 90.00, 90.00, 120.00 degrees
With the nearest neighbours (Å) after each atom.
Space group R-3m (No. 166, hexagonal axes)
Inequivalent atoms, fractional coordinates:
Li1 0.0000 0.0000 0.0000 x3  6 Se 2.85
Bi1 0.0000 0.0000 0.5000 x3  6 Se 2.97
Se1 0.0000 0.0000 0.2551 x6  3 Li 2.85, 3 Bi 2.97

Values from the calculation:
Crystal system ... trigonal
Mass density ... 6.32 g/cm³
Raw total energy ... -3.92 eV/atom
V ... 24.560 A^3/atom
Total magnetization ... 0.000 μB/cell
Uncorrected formation energy ... -2.912 eV/f.u.

(2)
LiBiSe2: optimized geometry, GGA-PBE.

Cell lengths 4.3303, 4.3303, 23.9120 Å; angles 90.00, 90.00, 120.00 degrees
With the nearest neighbours (Å) after each atom.
Space group R-3m (No. 166, hexagonal axes)
Inequivalent atoms, fractional coordinates:
Li1 0.0000 0.0000 0.0000 x3  2 Se 2.39
Bi1 0.0000 0.0000 0.5000 x3  6 Se 2.97
Se1 0.0000 0.0000 0.0999 x6  1 Li 2.39

Values from the calculation:
Crystal system ... trigonal
Mass density ... 4.80 g/cm³
Raw total energy ... -3.78 eV/atom
V ... 32.359 A^3/atom
Total magnetization ... 0.000 μB/cell
Uncorrected formation energy ... -2.360 eV/f.u.

(3)
LiBi3Se6: optimized geometry, GGA-PBE.

Cell lengths 12.4233, 14.7822, 6.1384 Å; angles 90.00, 90.00, 90.00 degrees
With the nearest neighbours (Å) after each atom.
Space group Cmc2_1 (No. 36)
Inequivalent atoms, fractional coordinates:
Li1 0.0000 0.1485 0.0000 x4  5 Se 2.51-2.70
Bi1 0.0000 0.3827 0.3551 x4  7 Se 2.86-3.13
Bi2 0.1769 0.1298 0.4572 x8  4 Se 2.79-3.06
Se1 0.0000 0.0063 0.2769 x4  2 Li 2.67-2.70
Se2 0.0000 0.2310 0.6435 x4  1 Li 2.51
Se3 0.1505 0.2585 0.1298 x8  1 Li 2.60, 2 Bi 2.79-2.91
Se4 0.1649 0.4837 0.6548 x8  4 Bi 3.10-3.18, 2 Se 3.11

Values from the calculation:
Crystal system ... orthorhombic
Mass density ... 6.53 g/cm³
Raw total energy ... -3.79 eV/atom
V ... 28.182 A^3/atom
Total magnetization ... 0.000 μB/cell
Uncorrected formation energy ... -3.455 eV/f.u.

(4)
Li2BiSe: optimized geometry, GGA-PBE.

Cell lengths 3.5419, 3.5419, 26.7509 Å; angles 90.00, 90.00, 120.00 degrees
With the nearest neighbours (Å) after each atom.
Space group R-3m (No. 166, hexagonal axes)
Inequivalent atoms, fractional coordinates:
Li1 0.0000 0.0000 0.1126 x6  3 Se 2.51
Bi1 0.0000 0.0000 0.0000 x3  2 Li 3.01
Se1 0.0000 0.0000 0.5000 x3  6 Li 2.51

Values from the calculation:
Crystal system ... trigonal
Mass density ... 5.17 g/cm³
Raw total energy ... -3.33 eV/atom
V ... 24.219 A^3/atom
E above lowest polymorph ... 17 meV per atom
Total magnetization ... 0.002 μB/cell
Uncorrected formation energy ... -2.146 eV/f.u.

> Look up the V of the fourth one.

24.219 A^3/atom